Entry 1:
Density functional theory data (PBE) for crystalline La2PrNi2 at its relaxed geometry.

Results
Total magnetization   0.0 Bohr magnetons per cell
Energy of formation from the pure elements   -0.240 eV/atom
Final energy   -27.40 eV for the cell shown
Polymorph energy (0 for the lowest one)   0 meV per atom

Unit cell a=3.929 b=4.519 c=7.619 alpha=107.25 beta=90.00 gamma=90.00
Fractional coordinates of all 5 atoms:
La 0.500 0.651 0.302
La 0.500 0.349 0.698
Pr 0.000 0.000 0.000
Ni 0.000 0.798 0.595
Ni 0.000 0.202 0.405

Entry 2:
Density functional theory data (PBE) for crystalline LaPrNi at its relaxed geometry.

Results
Total magnetization   0.1 Bohr magnetons per cell
Energy of formation from the pure elements   -0.034 eV/atom
Final energy   -15.59 eV for the cell shown
Polymorph energy (0 for the lowest one)   183 meV per atom

Unit cell a=4.949 b=4.949 c=4.949 alpha=60.00 beta=60.00 gamma=60.00
Fractional coordinates of all 3 atoms:
Pr 0.500 0.500 0.500
La 0.000 0.000 0.000
Ni 0.250 0.250 0.250

Entry 3:
Density functional theory data (PBE) for crystalline La2PrNi at its relaxed geometry.

Results
Total magnetization   0.0 Bohr magnetons per cell
Energy of formation from the pure elements   -0.153 eV/atom
Final energy   -42.05 eV for the cell shown
Polymorph energy (0 for the lowest one)   25 meV per atom

Unit cell a=5.127 b=6.641 c=7.529 alpha=90.00 beta=90.00 gamma=112.71
Fractional coordinates of all 8 atoms:
La 0.650 0.301 0.472
La 0.350 0.699 0.528
La 0.650 0.301 0.028
La 0.350 0.699 0.972
Pr 0.034 0.069 0.750
Pr 0.966 0.931 0.250
Ni 0.195 0.392 0.250
Ni 0.805 0.608 0.750

Entry 4:
Density functional theory data (PBE) for crystalline La2PrNi at its relaxed geometry.

Results
Total magnetization   0.0 Bohr magnetons per cell
Energy of formation from the pure elements   -0.177 eV/atom
Final energy   -84.50 eV for the cell shown
Polymorph energy (0 for the lowest one)   0 meV per atom

Unit cell a=6.559 b=7.177 c=10.212 alpha=90.00 beta=90.00 gamma=90.00
Fractional coordinates of all 16 atoms:
Pr 0.151 0.967 0.750
Pr 0.349 0.467 0.750
Pr 0.849 0.033 0.250
Pr 0.651 0.533 0.250
Ni 0.918 0.615 0.750
Ni 0.418 0.885 0.250
Ni 0.582 0.115 0.750
Ni 0.082 0.385 0.250
La 0.173 0.674 0.068
La 0.673 0.826 0.568
La 0.673 0.826 0.932
La 0.827 0.326 0.932
La 0.327 0.174 0.068
La 0.173 0.674 0.432
La 0.327 0.174 0.432
La 0.827 0.326 0.568

Entry 5:
Density functional theory data (PBE) for crystalline LaPr2Ni2 at its relaxed geometry.

Results
Total magnetization   0.0 Bohr magnetons per cell
Energy of formation from the pure elements   -0.139 eV/atom
Final energy   -26.74 eV for the cell shown
Polymorph energy (0 for the lowest one)   80 meV per atom

Unit cell a=3.921 b=6.015 c=6.139 alpha=106.40 beta=108.62 gamma=90.00
Fractional coordinates of all 5 atoms:
Pr 0.654 0.604 0.308
Pr 0.346 0.396 0.692
Ni 0.289 0.898 0.578
Ni 0.711 0.102 0.422
La 0.000 0.000 0.000

Entry 6:
Density functional theory data (PBE) for crystalline LaPrNi17 at its relaxed geometry.

Results
Total magnetization   7.2 Bohr magnetons per cell
Energy of formation from the pure elements   -0.154 eV/atom
Final energy   -110.92 eV for the cell shown

Unit cell a=6.321 b=6.321 c=6.321 alpha=83.24 beta=83.24 gamma=83.24
Fractional coordinates of all 19 atoms:
Ni 0.000 0.288 0.712
Ni 0.657 0.657 0.151
Ni 0.001 0.001 0.500
Ni 0.288 0.000 0.712
Ni 0.712 0.000 0.288
Ni 0.343 0.848 0.343
Ni 0.288 0.712 0.000
Ni 0.000 0.712 0.288
Ni 0.657 0.151 0.657
Ni 0.343 0.343 0.848
Ni 0.098 0.098 0.098
Ni 0.848 0.343 0.343
Ni 0.902 0.902 0.902
Ni 0.712 0.288 0.000
Ni 0.001 0.500 0.001
Ni 0.151 0.657 0.657
Ni 0.500 0.001 0.001
Pr 0.341 0.341 0.341
La 0.659 0.659 0.659

Entry 7:
Density functional theory data (PBE) for crystalline LaPrNi at its relaxed geometry.

Results
Total magnetization   0.0 Bohr magnetons per cell
Energy of formation from the pure elements   -0.146 eV/atom
Final energy   -63.71 eV for the cell shown
Polymorph energy (0 for the lowest one)   70 meV per atom

Unit cell a=6.961 b=7.570 c=7.164 alpha=66.41 beta=90.00 gamma=90.00
Fractional coordinates of all 12 atoms:
Pr 0.315 0.192 0.017
Pr 0.815 0.808 0.483
Pr 0.685 0.808 0.983
Pr 0.185 0.192 0.517
La 0.811 0.312 0.078
La 0.189 0.688 0.922
La 0.311 0.688 0.422
La 0.689 0.312 0.578
Ni 0.456 0.451 0.204
Ni 0.544 0.549 0.796
Ni 0.044 0.451 0.704
Ni 0.956 0.549 0.296

Entry 8:
Density functional theory data (PBE) for crystalline LaPr12Ni6 at its relaxed geometry.

Results
Total magnetization   0.0 Bohr magnetons per cell
Energy of formation from the pure elements   -0.158 eV/atom
Final energy   -99.98 eV for the cell shown

Unit cell a=8.889 b=8.889 c=8.889 alpha=109.47 beta=109.47 gamma=109.47
Fractional coordinates of all 19 atoms:
Pr 0.815 0.313 0.128
Pr 0.313 0.498 0.185
Pr 0.687 0.872 0.185
Pr 0.872 0.185 0.687
Pr 0.185 0.313 0.498
Pr 0.498 0.185 0.313
Pr 0.313 0.128 0.815
Pr 0.502 0.815 0.687
Pr 0.815 0.687 0.502
Pr 0.185 0.687 0.872
Pr 0.128 0.815 0.313
Pr 0.687 0.502 0.815
La 0.000 0.000 0.000
Ni 0.500 0.880 0.380
Ni 0.880 0.380 0.500
Ni 0.120 0.620 0.500
Ni 0.380 0.500 0.880
Ni 0.500 0.120 0.620
Ni 0.620 0.500 0.120

Entry 9:
Density functional theory data (PBE) for crystalline LaPrNi at its relaxed geometry.

Results
Total magnetization   0.0 Bohr magnetons per cell
Energy of formation from the pure elements   -0.217 eV/atom
Final energy   -32.28 eV for the cell shown
Polymorph energy (0 for the lowest one)   0 meV per atom

Unit cell a=3.838 b=7.157 c=6.687 alpha=95.81 beta=106.61 gamma=105.67
Fractional coordinates of all 6 atoms:
La 0.243 0.943 0.362
La 0.635 0.160 0.927
Ni 0.883 0.872 0.710
Ni 0.995 0.232 0.579
Pr 0.345 0.627 0.880
Pr 0.533 0.477 0.408

Entry 10:
Density functional theory data (PBE) for crystalline La2PrNi3 at its relaxed geometry.

Results
Total magnetization   0.0 Bohr magnetons per cell
Energy of formation from the pure elements   -0.276 eV/atom
Final energy   -67.27 eV for the cell shown

Unit cell a=5.070 b=7.954 c=7.986 alpha=119.87 beta=90.00 gamma=90.00
Fractional coordinates of all 12 atoms:
Ni 0.000 0.500 0.000
Ni 0.500 0.831 0.662
Ni 0.000 0.831 0.662
Ni 0.500 0.500 0.000
Ni 0.500 0.169 0.338
Ni 0.000 0.169 0.338
Pr 0.250 0.161 0.000
Pr 0.750 0.839 0.000
La 0.750 0.493 0.327
La 0.250 0.834 0.327
La 0.250 0.507 0.673
La 0.750 0.166 0.673

Entry 11:
Density functional theory data (PBE) for crystalline La2PrNi2 at its relaxed geometry.

Results
Total magnetization   0.0 Bohr magnetons per cell
Energy of formation from the pure elements   -0.157 eV/atom
Final energy   -26.98 eV for the cell shown
Polymorph energy (0 for the lowest one)   83 meV per atom

Unit cell a=3.997 b=5.956 c=6.141 alpha=106.22 beta=108.99 gamma=90.00
Fractional coordinates of all 5 atoms:
Pr 0.000 0.000 0.000
La 0.345 0.382 0.690
La 0.655 0.618 0.310
Ni 0.711 0.113 0.423
Ni 0.289 0.887 0.577

Entry 12:
Density functional theory data (PBE) for crystalline LaPrNiRh at its relaxed geometry.

Results
Total magnetization   0.0 Bohr magnetons per cell
Energy of formation from the pure elements   -0.525 eV/atom
Final energy   -24.94 eV for the cell shown
Polymorph energy (0 for the lowest one)   0 meV per atom

Unit cell a=3.981 b=4.193 c=5.936 alpha=90.00 beta=109.59 gamma=90.00
Fractional coordinates of all 4 atoms:
Rh 0.418 0.000 0.836
Ni 0.580 0.500 0.159
La 0.864 0.500 0.729
Pr 0.138 0.000 0.276

Copy entry 10 word for word.
Density functional theory data (PBE) for crystalline La2PrNi3 at its relaxed geometry.

Results
Total magnetization   0.0 Bohr magnetons per cell
Energy of formation from the pure elements   -0.276 eV/atom
Final energy   -67.27 eV for the cell shown

Unit cell a=5.070 b=7.954 c=7.986 alpha=119.87 beta=90.00 gamma=90.00
Fractional coordinates of all 12 atoms:
Ni 0.000 0.500 0.000
Ni 0.500 0.831 0.662
Ni 0.000 0.831 0.662
Ni 0.500 0.500 0.000
Ni 0.500 0.169 0.338
Ni 0.000 0.169 0.338
Pr 0.250 0.161 0.000
Pr 0.750 0.839 0.000
La 0.750 0.493 0.327
La 0.250 0.834 0.327
La 0.250 0.507 0.673
La 0.750 0.166 0.673

Which formula does entry 4 have?
La2PrNi

Repeat the fourth record exactly.
Density functional theory data (PBE) for crystalline La2PrNi at its relaxed geometry.

Results
Total magnetization   0.0 Bohr magnetons per cell
Energy of formation from the pure elements   -0.177 eV/atom
Final energy   -84.50 eV for the cell shown
Polymorph energy (0 for the lowest one)   0 meV per atom

Unit cell a=6.559 b=7.177 c=10.212 alpha=90.00 beta=90.00 gamma=90.00
Fractional coordinates of all 16 atoms:
Pr 0.151 0.967 0.750
Pr 0.349 0.467 0.750
Pr 0.849 0.033 0.250
Pr 0.651 0.533 0.250
Ni 0.918 0.615 0.750
Ni 0.418 0.885 0.250
Ni 0.582 0.115 0.750
Ni 0.082 0.385 0.250
La 0.173 0.674 0.068
La 0.673 0.826 0.568
La 0.673 0.826 0.932
La 0.827 0.326 0.932
La 0.327 0.174 0.068
La 0.173 0.674 0.432
La 0.327 0.174 0.432
La 0.827 0.326 0.568